19
Lattice="6.3492 3.6657 2.9956 -6.3492 3.6657 2.9956 0.0000 -7.3314 2.9956" Properties=species:S:1:pos:R:3 comment="LiIn12Ir6 | Alexandria via LeMat-Bulk | PBE-GGA | relaxed" ef_kj_per_mol_fu=-119 dos_at_fermi_per_ev_cell=4.88 space_group="No. 166" rho_g_cm3=10.07 pbc="T T T"
Li 0.0000 0.0000 0.0000
In -2.3951 -4.1484 4.4934
In -4.7901 0.0000 4.4934
In -1.6525 -0.9540 2.8268
In 1.6524 -0.9540 2.8269
In 0.0000 1.9081 2.8269
In 2.3951 -4.1484 4.4934
In -2.3951 4.1484 4.4934
In 0.0000 -1.9081 6.1600
In -1.6524 0.9540 6.1600
In 1.6525 0.9540 6.1600
In 4.7902 0.0000 4.4934
In 2.3951 4.1484 4.4934
Ir 0.0000 -3.0074 3.6667
Ir -2.6044 1.5037 3.6667
Ir -2.6045 -1.5037 5.3201
Ir 2.6045 1.5037 3.6667
Ir 2.6045 -1.5037 5.3201
Ir 0.0000 3.0074 5.3201

8
Lattice="2.2791 1.3158 7.4432 -2.2791 1.3158 7.4432 0.0000 -2.6316 7.4432" Properties=species:S:1:pos:R:3 comment="Li3In3Ir2 | Alexandria via LeMat-Bulk | PBE-GGA | relaxed" ef_kj_per_mol_fu=-241 dos_at_fermi_per_ev_cell=2.60 space_group="No. 160" rho_g_cm3=9.30 pbc="T T T"
Li 0.0000 0.0000 0.0000
Li 0.0000 0.0000 2.7740
Li 0.0000 0.0000 14.0143
In 0.0000 0.0000 5.7303
In 0.0000 0.0000 11.2363
In 0.0000 0.0000 16.6711
Ir 0.0000 0.0000 8.4702
Ir 0.0000 0.0000 19.5292

4
Lattice="1.5074 -2.4112 0.0000 1.5074 2.4112 0.0000 0.0000 0.0000 8.7467" Properties=species:S:1:pos:R:3 comment="LiInIr2 | Alexandria via LeMat-Bulk | PBE-GGA | relaxed" ef_kj_per_mol_fu=73 dos_at_fermi_per_ev_cell=4.40 space_group="No. 65" rho_g_cm3=13.22 pbc="T T T"
Li 0.0000 0.0000 0.0000
In 0.0000 0.0000 4.3733
Ir 1.5074 0.0000 2.1334
Ir 1.5074 0.0000 6.6133

20
Lattice="6.3298 -6.6876 0.0000 6.3298 6.6876 0.0000 -1.5902 0.0000 4.9842" Properties=species:S:1:pos:R:3 comment="LiIn3Ir | Alexandria via LeMat-Bulk | PBE-GGA | relaxed" ef_kj_per_mol_fu=-43 dos_at_fermi_per_ev_cell=8.76 polymorph_energy_ev_per_fu=0.479 space_group="No. 15" rho_g_cm3=8.56 pbc="T T T"
Li 0.6199 0.7048 2.4430
Li -0.1752 -0.7048 4.9351
Li 11.2447 0.7048 0.0491
Li 10.4496 -0.7048 2.5412
In 3.5391 4.4848 4.9457
In 3.6773 2.7289 2.4862
In 2.4501 0.8465 4.7188
In 6.7353 4.4848 2.5305
In 3.2452 -0.8465 2.2268
In 8.1873 2.7289 0.0059
In 2.8822 -2.7289 4.9783
In 7.8244 0.8465 2.7574
In 4.3342 -4.4848 2.4537
In 8.6194 -0.8465 0.2653
In 7.3922 -2.7289 2.4979
In 7.5304 -4.4848 0.0384
Ir 5.9323 2.1004 1.2460
Ir 5.1372 0.6591 3.7381
Ir 5.9323 -0.6591 1.2460
Ir 5.1372 -2.1004 3.7381

4
Lattice="-1.9884 1.9938 4.4210 1.9884 -1.9938 4.4210 1.9884 1.9938 -4.4210" Properties=species:S:1:pos:R:3 comment="LiIn2Ir | Alexandria via LeMat-Bulk | PBE-GGA | relaxed" ef_kj_per_mol_fu=-69 dos_at_fermi_per_ev_cell=1.39 polymorph_energy_ev_per_fu=0.521 space_group="No. 44" rho_g_cm3=10.16 pbc="T T T"
Li 0.0000 0.0000 0.0000
In 1.9884 0.0000 2.2122
In 0.0000 0.0000 4.4249
Ir 0.0000 1.9938 2.2126

4
Lattice="2.1996 1.2700 5.0821 -2.1996 1.2700 5.0821 0.0000 -2.5399 5.0821" Properties=species:S:1:pos:R:3 comment="LiIn2Ir | Alexandria via LeMat-Bulk | PBE-GGA | relaxed" ef_kj_per_mol_fu=-41 dos_at_fermi_per_ev_cell=2.37 polymorph_energy_ev_per_fu=0.811 space_group="No. 160" rho_g_cm3=8.36 pbc="T T T"
Li 0.0000 0.0000 0.0000
In 0.0000 0.0000 8.7797
In 0.0000 0.0000 11.8740
Ir 0.0000 0.0000 2.7968

3
Lattice="0.0000 3.0978 3.0978 3.0978 0.0000 3.0978 3.0978 3.0978 0.0000" Properties=species:S:1:pos:R:3 comment="LiInIr | Alexandria via LeMat-Bulk | PBE-GGA | relaxed" ef_kj_per_mol_fu=16 dos_at_fermi_per_ev_cell=1.79 space_group="No. 216" rho_g_cm3=8.77 pbc="T T T"
Li 0.0000 0.0000 0.0000
In 3.0978 3.0978 3.0978
Ir 4.6467 4.6467 4.6467

8
Lattice="-3.5657 3.5657 2.5393 3.5657 -3.5657 2.5393 3.5657 3.5657 -2.5393" Properties=species:S:1:pos:R:3 comment="LiInIr2 | Alexandria via LeMat-Bulk | PBE-GGA | relaxed" ef_kj_per_mol_fu=153 dos_at_fermi_per_ev_cell=7.20 space_group="No. 122" rho_g_cm3=13.02 pbc="T T T"
Li 0.0000 0.0000 0.0000
Li 0.0000 3.5657 1.2696
In 3.5657 0.0000 1.2696
In 0.0000 0.0000 2.5393
Ir 1.7829 1.4955 -0.6348
Ir 2.0702 -1.7829 3.1741
Ir 1.7829 2.0702 1.9045
Ir 1.4955 5.3486 0.6348

4
Lattice="2.8194 0.0000 0.0000 0.0000 4.1565 0.0000 -1.3830 0.0000 5.1776" Properties=species:S:1:pos:R:3 comment="LiInIr2 | Alexandria via LeMat-Bulk | PBE-GGA | relaxed" ef_kj_per_mol_fu=-40 dos_at_fermi_per_ev_cell=2.08 space_group="No. 10" rho_g_cm3=13.85 pbc="T T T"
Li 0.0000 0.0000 0.0000
In -0.6915 0.0000 2.5888
Ir 0.7485 2.0782 1.1415
Ir 0.6880 2.0782 4.0361

5
Lattice="5.1765 0.0000 0.0000 0.0000 5.1765 0.0000 0.0000 0.0000 5.1765" Properties=species:S:1:pos:R:3 comment="LiIn3Ir | Alexandria via LeMat-Bulk | PBE-GGA | relaxed" ef_kj_per_mol_fu=-22 dos_at_fermi_per_ev_cell=2.59 polymorph_energy_ev_per_fu=0.694 space_group="No. 221" rho_g_cm3=6.51 pbc="T T T"
Li 0.0000 0.0000 0.0000
In 0.0000 2.5883 2.5883
In 2.5883 0.0000 2.5883
In 2.5883 2.5883 0.0000
Ir 2.5883 2.5883 2.5883

4
Lattice="1.4558 0.8405 8.6611 -1.4558 0.8405 8.6611 0.0000 -1.6810 8.6611" Properties=species:S:1:pos:R:3 comment="LiInIr2 | Alexandria via LeMat-Bulk | PBE-GGA | relaxed" ef_kj_per_mol_fu=56 dos_at_fermi_per_ev_cell=4.31 space_group="No. 166" rho_g_cm3=13.22 pbc="T T T"
Li 0.0000 0.0000 0.0000
In 0.0000 0.0000 12.9916
Ir 0.0000 0.0000 6.5231
Ir 0.0000 0.0000 19.4602

10
Lattice="4.6648 0.0000 0.0000 0.0000 4.6381 0.0000 -2.2383 0.0000 8.9031" Properties=species:S:1:pos:R:3 comment="LiIn3Ir | Alexandria via LeMat-Bulk | PBE-GGA | relaxed" ef_kj_per_mol_fu=-89 dos_at_fermi_per_ev_cell=3.53 polymorph_energy_ev_per_fu=0.000 space_group="No. 11" rho_g_cm3=9.37 pbc="T T T"
Li 0.0685 1.1595 2.9265
Li 2.3580 3.4786 5.9766
In 0.0302 3.4786 1.1088
In 0.0333 3.4786 4.4076
In 0.0420 3.4786 7.6568
In 2.3845 1.1595 1.2463
In 2.3932 1.1595 4.4955
In 2.3963 1.1595 7.7943
Ir 0.0705 1.1595 6.0752
Ir 2.3561 3.4786 2.8279

Number 1: raw total energy -4.6934 eV/atom. Number 2: raw total energy -4.2721 eV/atom. Number 3: raw total energy -5.4032 eV/atom. Number 4: raw total energy -3.8868 eV/atom. Number 5: raw total energy -4.2427 eV/atom. Number 6: raw total energy -4.1702 eV/atom. Number 7: raw total energy -4.4506 eV/atom. Number 8: raw total energy -5.1979 eV/atom. Number 9: raw total energy -5.6967 eV/atom. Number 10: raw total energy -3.8439 eV/atom. Number 11: raw total energy -5.4497 eV/atom. Number 12: raw total energy -3.9827 eV/atom.